Below is a geometry-optimized Tl3Ni2TeO6 structure, with properties calculated at the PBE with a Hubbard U level.

Computed properties:
electronic total energy = -55.487 eV for the cell shown

Lattice parameters (Å, degrees): 5.428 5.428 7.271 98.24 98.24 120.01
Positions (direct):
Tl 0.000 0.000 0.000
Tl 0.334 0.666 0.000
Tl 0.666 0.334 0.000
Ni 0.167 0.833 0.500
Ni 0.833 0.167 0.500
Te 0.500 0.500 0.500
O 0.132 0.442 0.350
O 0.248 0.248 0.651
O 0.442 0.132 0.350
O 0.558 0.868 0.650
O 0.752 0.752 0.349
O 0.868 0.558 0.650